Computed, not measured: an optimized crystal structure of NbHg2OsRu at the PBE-GGA level of DFT.

Computed properties:
DOS at the Fermi energy ... 0.975 states/eV/atom
Formation energy ... 1986 meV per atom
Magnetization ... 2.8 μB per formula unit
Theoretical density ... 9.98 g/cm3

```
NbHg2OsRu
1.0
5.288 0.000 0.000
0.000 5.288 0.000
0.000 0.000 4.672
Nb Hg Os Ru
1 2 1 1
direct
0.000 0.000 0.000
0.000 0.500 0.000
0.500 0.000 0.000
0.000 0.000 0.500
0.500 0.500 0.500
```

Computed, not measured: an optimized crystal structure of NbHgOs2W at the PBE-GGA level of DFT.

Computed properties:
DOS at the Fermi energy ... 1.162 states/eV/atom
Formation energy ... 2046 meV per atom
Magnetization ... 0.0 μB per formula unit
Theoretical density ... 12.87 g/cm3

```
NbHgOs2W
1.0
4.670 0.000 0.000
0.000 4.670 0.000
0.000 0.000 5.075
Nb Hg Os W
1 1 2 1
direct
0.000 0.000 0.000
0.500 0.500 0.000
0.000 0.500 0.500
0.500 0.000 0.500
0.500 0.500 0.500
```

Computed, not measured: an optimized crystal structure of NbZnHg2Os at the PBE-GGA level of DFT.

Computed properties:
DOS at the Fermi energy ... 0.791 states/eV/atom
Formation energy ... 2040 meV per atom
Magnetization ... 2.9 μB per formula unit
Theoretical density ... 8.97 g/cm3

```
NbZnHg2Os
1.0
5.278 0.000 0.000
0.000 5.278 0.000
0.000 0.000 4.981
Nb Zn Hg Os
1 1 2 1
direct
0.000 0.000 0.000
0.000 0.000 0.500
0.000 0.500 0.000
0.500 0.000 0.000
0.500 0.500 0.500
```

Computed, not measured: an optimized crystal structure of Nb2HgP at the PBE-GGA level of DFT.

Computed properties:
DOS at the Fermi energy ... 1.014 states/eV/atom
Relative energy among the computed polymorphs ... 29.3 kJ/mol of atoms
Formation energy ... 428 meV per atom
Magnetization ... 0.0 μB per formula unit
Theoretical density ... 9.08 g/cm3

```
Nb2HgP
1.0
3.956 0.000 0.000
0.000 3.956 0.000
0.000 0.000 19.524
Nb Hg P
8 4 4
direct
0.237 0.250 0.125
0.250 0.737 0.375
0.250 0.763 0.875
0.263 0.250 0.625
0.737 0.750 0.625
0.750 0.237 0.875
0.750 0.263 0.375
0.763 0.750 0.125
0.000 0.000 0.500
0.000 0.500 0.750
0.500 0.000 0.250
0.500 0.500 0.000
0.000 0.000 0.000
0.000 0.500 0.250
0.500 0.000 0.750
0.500 0.500 0.500
```

Computed, not measured: an optimized crystal structure of NbHg2P at the PBE-GGA level of DFT.

Computed properties:
DOS at the Fermi energy ... 0.751 states/eV/atom
Formation energy ... 433 meV per atom
Magnetization ... 0.0 μB per formula unit
Theoretical density ... 10.69 g/cm3

```
NbHg2P
1.0
7.861 0.000 0.000
0.000 7.861 0.000
0.000 0.000 5.278
Nb Hg P
4 8 4
direct
0.000 0.000 0.000
0.000 0.500 0.250
0.500 0.000 0.750
0.500 0.500 0.500
0.222 0.250 0.625
0.250 0.722 0.875
0.250 0.778 0.375
0.278 0.250 0.125
0.722 0.750 0.125
0.750 0.222 0.375
0.750 0.278 0.875
0.778 0.750 0.625
0.000 0.000 0.500
0.000 0.500 0.750
0.500 0.000 0.250
0.500 0.500 0.000
```

Computed, not measured: an optimized crystal structure of Nb2HgP at the PBE-GGA level of DFT.

Computed properties:
DOS at the Fermi energy ... 1.618 states/eV/atom
Relative energy among the computed polymorphs ... 0.0 kJ/mol of atoms
Formation energy ... 124 meV per atom
Magnetization ... 0.0 μB per formula unit
Theoretical density ... 10.00 g/cm3

```
Nb2HgP
1.0
6.519 0.000 0.000
0.000 6.519 0.000
0.000 0.000 6.519
Nb Hg P
8 4 4
direct
0.250 0.250 0.250
0.250 0.250 0.750
0.250 0.750 0.250
0.250 0.750 0.750
0.750 0.250 0.250
0.750 0.250 0.750
0.750 0.750 0.250
0.750 0.750 0.750
0.000 0.000 0.000
0.000 0.500 0.500
0.500 0.000 0.500
0.500 0.500 0.000
0.000 0.000 0.500
0.000 0.500 0.000
0.500 0.000 0.000
0.500 0.500 0.500
```